Pm2TmRh9 | PBE | relaxed

abc: 5.270 5.270 9.383
angles: 73.69 73.69 60.00
Sites, in units of the cell vectors:
Pm1 0.862 0.862 0.415
Pm2 0.138 0.138 0.585
Tm1 0.000 0.000 0.000
Rh1 0.667 0.667 0.999
Rh2 0.333 0.333 0.001
Rh3 0.500 0.500 0.500
Rh4 0.419 0.419 0.244
Rh5 0.918 0.419 0.244
Rh6 0.419 0.918 0.244
Rh7 0.581 0.581 0.756
Rh8 0.581 0.082 0.756
Rh9 0.082 0.581 0.756

Results
- N(E_F) (states/eV per cell) = 11.902

PmTmZnRh | PBE | relaxed

abc: 4.971 4.971 4.971
angles: 60.00 60.00 60.00
Sites, in units of the cell vectors:
Zn1 0.000 0.000 0.000
Tm1 0.250 0.250 0.250
Rh1 0.500 0.500 0.500
Pm1 0.750 0.750 0.750

Results
- excess energy over the best structure of this formula in the dataset (meV per atom) = 9
- N(E_F) (states/eV per cell) = 2.231

no.,formation energy from the elements (eV per formula unit),total magnetization (μB per atom),calculated volume (Å³/cell)
1,-6.3,0.000,213.5
2,-2.3,0.000,86.9